This record from the Alexandria database describes a relaxed DyHoPtPb crystal. The functional is PBE.

a b c (Å): 7.323 7.323 7.323
angles (deg): 90.00 90.00 90.00
Space group F-43m (No. 216)
One atom of each set of equivalent atoms:
Dy 0.000 0.000 0.000 x4
Ho 0.000 0.000 0.500 x4
Pt 0.250 0.250 0.250 x4
Pb 0.250 0.250 0.750 x4

Properties
Raw total energy: -87.57 eV/cell
M_tot: 0.0 μB/cell
Density of states at the Fermi level: 5.5 states/eV per cell
Calculated volume: 24.54 Å³/atom

=====

This record from the Alexandria database describes a relaxed ZrSc2SbH crystal. The functional is PBE.

a b c (Å): 4.515 4.515 4.336
angles (deg): 90.00 90.00 90.00
Space group P4/mmm (No. 123)
One atom of each set of equivalent atoms:
Zr 0.000 0.000 0.000 x1
Sc 0.000 0.500 0.500 x2
Sb 0.500 0.500 0.000 x1
H 0.000 0.000 0.500 x1

Properties
Raw total energy: -31.47 eV/cell
M_tot: 0.0 μB/cell
Density of states at the Fermi level: 3.1 states/eV per cell
Calculated volume: 17.68 Å³/atom

=====

This record from the Alexandria database describes a relaxed BaTcMo4 crystal. The functional is PBE.

a b c (Å): 7.684 7.684 7.684
angles (deg): 90.00 90.00 90.00
Space group F-43m (No. 216)
One atom of each set of equivalent atoms:
Ba 0.000 0.000 0.000 x4
Tc 0.250 0.250 0.250 x4
Mo 0.125 0.125 0.625 x16

Properties
Raw total energy: -199.60 eV/cell
M_tot: 0.0 μB/cell
Density of states at the Fermi level: 26.5 states/eV per cell
Calculated volume: 18.90 Å³/atom

=====

This record from the Alexandria database describes a relaxed BeNbH crystal. The functional is PBE.

a b c (Å): 4.186 3.312 4.246
angles (deg): 90.00 97.64 90.00
Space group Pm (No. 6)
One atom of each set of equivalent atoms:
Be 0.000 0.000 0.000 x1
Be 0.472 0.000 0.409 x1
Nb 0.494 0.500 0.941 x1
Nb 0.981 0.500 0.470 x1
H 0.232 0.000 0.714 x1
H 0.494 0.500 0.441 x1

Properties
Raw total energy: -34.12 eV/cell
M_tot: 0.0 μB/cell
Density of states at the Fermi level: 2.3 states/eV per cell
Excess energy over the best structure of this formula in the dataset: 374 meV/atom
Calculated volume: 9.73 Å³/atom

=====

This record from the Alexandria database describes a relaxed Ho5Ni2Au crystal. The functional is PBE.

a b c (Å): 7.572 7.572 12.934
angles (deg): 90.00 90.00 90.00
Space group I4/mcm (No. 140)
One atom of each set of equivalent atoms:
Ho 0.000 0.000 0.000 x4
Ho 0.163 0.337 0.138 x16
Ni 0.126 0.374 0.500 x8
Au 0.000 0.000 0.250 x4

Properties
Raw total energy: -166.03 eV/cell
M_tot: 0.0 μB/cell
Density of states at the Fermi level: 32.9 states/eV per cell
Calculated volume: 23.18 Å³/atom

=====

This record from the Alexandria database describes a relaxed LiHRh crystal. The functional is PBE.

a b c (Å): 2.715 2.715 8.825
angles (deg): 90.00 90.00 90.00
Space group I4mm (No. 107)
One atom of each set of equivalent atoms:
Li 0.000 0.000 0.000 x2
H 0.000 0.000 0.232 x2
Rh 0.000 0.000 0.717 x2

Properties
Raw total energy: -26.01 eV/cell
M_tot: 0.4 μB/cell
Density of states at the Fermi level: 4.9 states/eV per cell
Calculated volume: 10.84 Å³/atom

=====

Question: Which formula does entry 6 have?
Answer: LiHRh

=====

Question: Number 1 is which compound?
Answer: DyHoPtPb

=====

Please write out number 3 again, unchanged.
This record from the Alexandria database describes a relaxed BaTcMo4 crystal. The functional is PBE.

a b c (Å): 7.684 7.684 7.684
angles (deg): 90.00 90.00 90.00
Space group F-43m (No. 216)
One atom of each set of equivalent atoms:
Ba 0.000 0.000 0.000 x4
Tc 0.250 0.250 0.250 x4
Mo 0.125 0.125 0.625 x16

Properties
Raw total energy: -199.60 eV/cell
M_tot: 0.0 μB/cell
Density of states at the Fermi level: 26.5 states/eV per cell
Calculated volume: 18.90 Å³/atom

=====

Question: What is the density of states at the Fermi level in the third record?
Answer: 26.5 states/eV per cell